Record 1
## SrEuZrSnO6 (PBE)

Data for a relaxed SrEuZrSnO6 crystal.

volume: 14.28 A^3/atom
energy relative to the elements, uncorrected: -2.674 eV per atom
M_tot: 7.0 μB/f.u.

a b c (Å): 8.2980 8.2980 8.2980
angles (deg): 90.00 90.00 90.00
Space group F-43m (No. 216)
One atom of each set of equivalent atoms:
Sr  0.0000  0.0000  0.0000 [4 per cell]
Eu  0.0000  0.0000  0.5000 [4 per cell]
Zr  0.2500  0.2500  0.7500 [4 per cell]
Sn  0.2500  0.2500  0.2500 [4 per cell]
O  0.0019  0.2500  0.2500 [24 per cell]

Record 2
## EuTi4SnO12 (PBE)

Data for a relaxed EuTi4SnO12 crystal.

volume: 12.33 A^3/atom
energy relative to the elements, uncorrected: -2.512 eV per atom
M_tot: 4.9 μB/f.u.

a b c (Å): 7.7803 7.5353 7.5702
angles (deg): 90.00 90.00 90.00
Space group Amm2 (No. 38)
One atom of each set of equivalent atoms:
Eu  0.0000  0.0000  0.0000 [2 per cell]
Ti  0.2447  0.2460  0.2680 [8 per cell]
Sn  0.5000  0.0000  0.5472 [2 per cell]
O  0.0000  0.1987  0.2708 [4 per cell]
O  0.2125  0.0000  0.7346 [4 per cell]
O  0.2363  0.1941  0.0213 [8 per cell]
O  0.3191  0.0000  0.3521 [4 per cell]
O  0.5000  0.2016  0.7217 [4 per cell]

Which value of volume does entry 1 give? 14.28 A^3/atom